MgZnCuPt | PBE | optimized geometry

Summary:
distance to the lowest polymorph of the same formula: 8.5 meV/atom
spin magnetization: 0.000 μB/atom

Lattice parameters (Å, degrees): 6.1816 6.1816 6.1816 90.00 90.00 90.00
Space group F-43m (No. 216)
Inequivalent atoms, fractional coordinates:
Mg 0.0000 0.0000 0.0000 x4
Zn 0.0000 0.0000 0.5000 x4
Cu 0.2500 0.2500 0.2500 x4
Pt 0.2500 0.2500 0.7500 x4

---

MgZrCu2Pt | PBE | optimized geometry

Summary:
raw total energy: -20.6 eV for the cell shown
spin magnetization: 0.000 μB/atom

Lattice parameters (Å, degrees): 4.8740 4.8740 4.9951 90.00 90.00 90.00
Space group P4/mmm (No. 123)
Inequivalent atoms, fractional coordinates:
Mg 0.0000 0.0000 0.0000 x1
Zr 0.5000 0.5000 0.5000 x1
Cu 0.0000 0.5000 0.5000 x2
Pt 0.5000 0.5000 0.0000 x1

---

PuMgCu | PBE | optimized geometry

Summary:
raw total energy: -39.8 eV for the cell shown
spin magnetization: 1.994 μB/atom

Lattice parameters (Å, degrees): 3.0701 3.0701 12.8235 90.00 90.00 90.00
Space group I4mm (No. 107)
Inequivalent atoms, fractional coordinates:
Pu 0.0000 0.0000 0.0000 x2
Mg 0.0000 0.0000 0.7103 x2
Cu 0.0000 0.0000 0.3379 x2

---

PuMgCu | PBE | optimized geometry

Summary:
raw total energy: -319.2 eV for the cell shown
spin magnetization: 1.994 μB/atom

Lattice parameters (Å, degrees): 5.6734 9.4823 18.4391 90.00 90.00 90.00
Space group Fddd (No. 70, origin choice 2)
Inequivalent atoms, fractional coordinates:
Pu 0.1250 0.1250 0.0440 x16
Mg 0.1250 0.2945 0.6250 x16
Cu 0.1250 0.1250 0.5010 x16

---

PuMgCu17 | PBE | optimized geometry

Summary:
raw total energy: -256.5 eV for the cell shown
spin magnetization: 0.287 μB/atom

Lattice parameters (Å, degrees): 8.4811 8.4811 12.4941 90.00 90.00 120.00
Space group R3m (No. 160, hexagonal axes)
Inequivalent atoms, fractional coordinates:
Pu 0.0000 0.0000 0.0000 x3
Mg 0.0000 0.0000 0.3200 x3
Cu 0.0000 0.0000 0.5585 x3
Cu 0.0000 0.0000 0.7542 x3
Cu 0.0357 0.3660 0.3266 x18
Cu 0.1680 0.3360 0.4945 x9
Cu 0.1695 0.3390 0.1463 x9
Cu 0.1697 0.3393 0.8394 x9

---

Pu2MgCu | PBE | optimized geometry

Summary:
distance to the lowest polymorph of the same formula: 238.6 meV/atom
spin magnetization: 2.492 μB/atom

Lattice parameters (Å, degrees): 2.9615 2.9615 33.9700 90.00 90.00 120.00
Space group R-3m (No. 166, hexagonal axes)
Inequivalent atoms, fractional coordinates:
Pu 0.0000 0.0000 0.0944 x6
Mg 0.0000 0.0000 0.0000 x3
Cu 0.0000 0.0000 0.5000 x3

---

Pu2MgCu9 | PBE | optimized geometry

Summary:
raw total energy: -202.3 eV for the cell shown
spin magnetization: 0.930 μB/atom

Lattice parameters (Å, degrees): 5.0527 5.0527 25.1284 90.00 90.00 120.00
Space group R-3m (No. 166, hexagonal axes)
Inequivalent atoms, fractional coordinates:
Pu 0.0000 0.0000 0.1443 x6
Mg 0.0000 0.0000 0.0000 x3
Cu 0.0000 0.0000 0.3324 x6
Cu 0.0000 0.0000 0.5000 x3
Cu 0.0011 0.5005 0.0804 x18

---

Pu2MgCu | PBE | optimized geometry

Summary:
distance to the lowest polymorph of the same formula: 0.0 meV/atom
spin magnetization: 2.940 μB/atom

Lattice parameters (Å, degrees): 3.1983 3.1983 8.8134 90.00 90.00 90.00
Space group P4/mmm (No. 123)
Inequivalent atoms, fractional coordinates:
Pu 0.0000 0.0000 0.2169 x2
Mg 0.5000 0.5000 0.5000 x1
Cu 0.5000 0.5000 0.0000 x1

---

Pu2Mg2Cu15 | PBE | optimized geometry

Summary:
raw total energy: -281.4 eV for the cell shown
spin magnetization: 0.632 μB/atom

Lattice parameters (Å, degrees): 8.6841 8.6841 12.7710 90.00 90.00 120.00
Space group R-3m (No. 166, hexagonal axes)
Inequivalent atoms, fractional coordinates:
Pu 0.0000 0.0000 0.1428 x6
Mg 0.0000 0.0000 0.3945 x6
Cu 0.0000 0.3002 0.5000 x18
Cu 0.0000 0.5000 0.0000 x9
Cu 0.0008 0.5004 0.6539 x18

---

PuMgCuSe3 | PBE | optimized geometry

Summary:
formation energy from raw total energies: -600 kJ/mol of formula units
spin magnetization: 0.833 μB/atom

Lattice parameters (Å, degrees): 8.0411 3.9206 8.6463 90.00 102.17 90.00
Space group P2_1/m (No. 11)
Inequivalent atoms, fractional coordinates:
Pu 0.1748 0.2500 0.2344 x2
Mg 0.3446 0.7500 0.8403 x2
Cu 0.0775 0.2500 0.5777 x2
Se 0.1028 0.2500 0.8663 x2
Se 0.2428 0.7500 0.5113 x2
Se 0.4213 0.7500 0.1593 x2

---

PuMgCuTe3 | PBE | optimized geometry

Summary:
formation energy from raw total energies: -406 kJ/mol of formula units
spin magnetization: 0.833 μB/atom

Lattice parameters (Å, degrees): 8.5881 4.1810 9.2917 90.00 100.37 90.00
Space group P2_1/m (No. 11)
Inequivalent atoms, fractional coordinates:
Pu 0.1641 0.2500 0.2482 x2
Mg 0.3484 0.7500 0.8427 x2
Cu 0.0661 0.2500 0.5714 x2
Te 0.1031 0.2500 0.8650 x2
Te 0.2449 0.7500 0.5186 x2
Te 0.4112 0.7500 0.1594 x2

---

PuMgTlCu | PBE | optimized geometry

Summary:
raw total energy: -88.7 eV for the cell shown
spin magnetization: 1.397 μB/atom

Lattice parameters (Å, degrees): 7.1173 7.1173 7.1173 90.00 90.00 90.00
Space group F-43m (No. 216)
Inequivalent atoms, fractional coordinates:
Pu 0.0000 0.0000 0.0000 x4
Mg 0.0000 0.0000 0.5000 x4
Tl 0.2500 0.2500 0.2500 x4
Cu 0.2500 0.2500 0.7500 x4

---

PuMgZnCu | PBE | optimized geometry

Summary:
raw total energy: -85.3 eV for the cell shown
spin magnetization: 1.404 μB/atom

Lattice parameters (Å, degrees): 6.7971 6.7971 6.7971 90.00 90.00 90.00
Space group F-43m (No. 216)
Inequivalent atoms, fractional coordinates:
Pu 0.0000 0.0000 0.0000 x4
Mg 0.0000 0.0000 0.5000 x4
Zn 0.2500 0.2500 0.2500 x4
Cu 0.2500 0.2500 0.7500 x4

---

RbMg3Cu | PBE | optimized geometry

Summary:
distance to the lowest polymorph of the same formula: 1246.0 meV/atom
spin magnetization: 0.000 μB/atom

Lattice parameters (Å, degrees): 6.8264 6.8264 6.8264 90.00 90.00 90.00
Space group Pm-3m (No. 221)
Inequivalent atoms, fractional coordinates:
Rb 0.0000 0.0000 0.0000 x1
Mg 0.0000 0.0000 0.5000 x3
Cu 0.5000 0.5000 0.5000 x1

---

RbMgCu3 | PBE | optimized geometry

Summary:
distance to the lowest polymorph of the same formula: 965.6 meV/atom
spin magnetization: 0.000 μB/atom

Lattice parameters (Å, degrees): 5.2698 5.2698 5.2698 90.00 90.00 90.00
Space group Pm-3m (No. 221)
Inequivalent atoms, fractional coordinates:
Rb 0.0000 0.0000 0.0000 x1
Mg 0.5000 0.5000 0.5000 x1
Cu 0.0000 0.0000 0.5000 x3

---

RbMg2Cu | PBE | optimized geometry

Summary:
distance to the lowest polymorph of the same formula: 0.0 meV/atom
spin magnetization: 0.000 μB/atom

Lattice parameters (Å, degrees): 6.4540 6.4540 15.3193 90.00 90.00 90.00
Space group I4_1/amd (No. 141, origin choice 2)
Inequivalent atoms, fractional coordinates:
Rb 0.0000 0.2500 0.3750 x4
Mg 0.0000 0.0000 0.0000 x8
Cu 0.0000 0.2500 0.8750 x4

---

RbMg3Cu | PBE | optimized geometry

Summary:
distance to the lowest polymorph of the same formula: 0.0 meV/atom
spin magnetization: 0.000 μB/atom

Lattice parameters (Å, degrees): 5.2091 5.2091 5.2091 90.00 90.00 90.00
Space group Pm-3m (No. 221)
Inequivalent atoms, fractional coordinates:
Rb 0.0000 0.0000 0.0000 x1
Mg 0.0000 0.5000 0.5000 x3
Cu 0.5000 0.5000 0.5000 x1

---

RbMg2Cu | PBE | optimized geometry

Summary:
distance to the lowest polymorph of the same formula: 162.1 meV/atom
spin magnetization: 0.000 μB/atom

Lattice parameters (Å, degrees): 7.5747 7.5747 7.5747 90.00 90.00 90.00
Space group Fm-3m (No. 225)
Inequivalent atoms, fractional coordinates:
Rb 0.0000 0.0000 0.0000 x4
Mg 0.2500 0.2500 0.2500 x8
Cu 0.0000 0.0000 0.5000 x4

---

Rb3MgCu | PBE | optimized geometry

Summary:
distance to the lowest polymorph of the same formula: 0.0 meV/atom
spin magnetization: 0.082 μB/atom

Lattice parameters (Å, degrees): 6.6271 6.6271 6.6271 90.00 90.00 90.00
Space group Pm-3m (No. 221)
Inequivalent atoms, fractional coordinates:
Rb 0.0000 0.0000 0.5000 x3
Mg 0.5000 0.5000 0.5000 x1
Cu 0.0000 0.0000 0.0000 x1

---

RbMgCu3 | PBE | optimized geometry

Summary:
distance to the lowest polymorph of the same formula: 0.0 meV/atom
spin magnetization: 0.000 μB/atom

Lattice parameters (Å, degrees): 5.0296 5.0296 5.0296 90.00 90.00 90.00
Space group Pm-3m (No. 221)
Inequivalent atoms, fractional coordinates:
Rb 0.0000 0.0000 0.0000 x1
Mg 0.5000 0.5000 0.5000 x1
Cu 0.0000 0.5000 0.5000 x3

---

Rb2MgCuSb2 | PBE | optimized geometry

Summary:
formation energy from raw total energies: -185 kJ/mol of formula units
spin magnetization: 0.000 μB/atom

Lattice parameters (Å, degrees): 6.7067 17.1463 6.8103 90.00 90.00 90.00
Space group Ibam (No. 72)
Inequivalent atoms, fractional coordinates:
Rb 0.2451 0.1716 0.0000 x8
Mg 0.0000 0.0000 0.2500 x4
Cu 0.0000 0.5000 0.2500 x4
Sb 0.2265 0.4125 0.0000 x8

---

RbMgTl2Cu | PBE | optimized geometry

Summary:
raw total energy: -6.3 eV for the cell shown
spin magnetization: 0.000 μB/atom

Lattice parameters (Å, degrees): 6.4617 6.4617 5.5163 90.00 90.00 90.00
Space group P4/mmm (No. 123)
Inequivalent atoms, fractional coordinates:
Rb 0.0000 0.0000 0.0000 x1
Mg 0.5000 0.5000 0.5000 x1
Tl 0.0000 0.5000 0.0000 x2
Cu 0.0000 0.0000 0.5000 x1

---

RbMgVCu2 | PBE | optimized geometry

Summary:
raw total energy: -14.7 eV for the cell shown
spin magnetization: 0.825 μB/atom

Lattice parameters (Å, degrees): 5.0452 5.0452 5.2328 90.00 90.00 90.00
Space group P4/mmm (No. 123)
Inequivalent atoms, fractional coordinates:
Rb 0.0000 0.0000 0.0000 x1
Mg 0.5000 0.5000 0.5000 x1
V 0.5000 0.5000 0.0000 x1
Cu 0.0000 0.5000 0.5000 x2

---

RbYMgCu2 | PBE | optimized geometry

Summary:
raw total energy: -11.0 eV for the cell shown
spin magnetization: 0.000 μB/atom

Lattice parameters (Å, degrees): 5.2426 5.2426 5.4786 90.00 90.00 90.00
Space group P4/mmm (No. 123)
Inequivalent atoms, fractional coordinates:
Rb 0.0000 0.0000 0.0000 x1
Y 0.5000 0.5000 0.5000 x1
Mg 0.0000 0.0000 0.5000 x1
Cu 0.0000 0.5000 0.0000 x2

---

RbMgZnCu2 | PBE | optimized geometry

Summary:
raw total energy: -9.5 eV for the cell shown
spin magnetization: 0.000 μB/atom

Lattice parameters (Å, degrees): 5.1199 5.1199 5.2995 90.00 90.00 90.00
Space group P4/mmm (No. 123)
Inequivalent atoms, fractional coordinates:
Rb 0.0000 0.0000 0.0000 x1
Mg 0.5000 0.5000 0.5000 x1
Zn 0.5000 0.5000 0.0000 x1
Cu 0.0000 0.5000 0.5000 x2

---

Mg2CuRe | PBE | optimized geometry

Summary:
distance to the lowest polymorph of the same formula: 109.6 meV/atom
spin magnetization: 0.000 μB/atom

Lattice parameters (Å, degrees): 9.7319 2.7269 4.9500 90.00 102.49 90.00
Space group Cm (No. 8)
Inequivalent atoms, fractional coordinates:
Mg 0.0000 0.0000 0.0000 x2
Mg 0.2288 0.0000 0.7099 x2
Cu 0.2418 0.5000 0.2493 x2
Re 0.4727 0.0000 0.4820 x2